The following is a SCAN calculation of BaLaCl2 at its PBEsol-relaxed geometry, from Alexandria via LeMat-Bulk.

The structure in CIF format:
```
data_BaLaCl2
_chemical_formula_sum 'Ba1 La1 Cl2'
_space_group_name_H-M_alt 'P 1'
_space_group_IT_number 1
_space_group_name_Hall 'P 1'
_cell_length_a 8.108
_cell_length_b 8.108
_cell_length_c 8.108
_cell_angle_alpha 28.30
_cell_angle_beta 28.30
_cell_angle_gamma 28.30
loop_
_atom_site_label
_atom_site_fract_x
_atom_site_fract_y
_atom_site_fract_z
Ba1 0.000 0.000 0.000
La1 0.500 0.500 0.500
Cl1 0.245 0.245 0.245
Cl2 0.755 0.755 0.755
```

## Properties
DOS(E_F)	2.37	states/eV per cell
formation energy from raw total energies	-1.796	eV/atom
magnetization	0.0	μB/cell
calculated total energy	-105.79	eV/cell